No. 1
CsRb3Ni | Alexandria | PBE | optimized geometry; size of the total moment = 0.01 μB per formula unit; density of states at the Fermi level = 2.595 states/eV/atom; E = -7.4 eV/f.u.
1.0
6.9517 0.0000 0.0000
0.0000 6.9517 0.0000
0.0000 0.0000 6.9517
Cs Rb Ni
1 3 1
Direct
0.0000 0.0000 0.0000 Cs
0.0000 0.5000 0.5000 Rb
0.5000 0.0000 0.5000 Rb
0.5000 0.5000 0.0000 Rb
0.5000 0.5000 0.5000 Ni

---

No. 2
CsRbNi3 | Alexandria | PBE | optimized geometry; size of the total moment = 0.00 μB per formula unit; relative energy among the computed polymorphs = 0.0 meV/atom; density of states at the Fermi level = 0.213 states/eV/atom; E = -10.5 eV/f.u.
1.0
5.1566 0.0000 0.0000
0.0000 5.1566 0.0000
0.0000 0.0000 5.1566
Cs Rb Ni
1 1 3
Direct
0.0000 0.0000 0.0000 Cs
0.5000 0.5000 0.5000 Rb
0.0000 0.0000 0.5000 Ni
0.0000 0.5000 0.0000 Ni
0.5000 0.0000 0.0000 Ni

---

No. 3
CsRbNi2 | Alexandria | PBE | optimized geometry; size of the total moment = 1.92 μB per formula unit; density of states at the Fermi level = 2.055 states/eV/atom; E = -8.8 eV/f.u.
1.0
0.0000 4.1802 4.1802
4.1802 0.0000 4.1802
4.1802 4.1802 0.0000
Cs Rb Ni
1 1 2
Direct
0.0000 0.0000 0.0000 Cs
0.5000 0.5000 0.5000 Rb
0.2500 0.2500 0.2500 Ni
0.7500 0.7500 0.7500 Ni

---

No. 4
CsRbScNi2 | Alexandria | PBE | optimized geometry; size of the total moment = 0.00 μB per formula unit; density of states at the Fermi level = 1.495 states/eV/atom; E = -11.2 eV/f.u.
1.0
5.1868 0.0000 0.0000
0.0000 5.1868 0.0000
0.0000 0.0000 5.4225
Cs Rb Sc Ni
1 1 1 2
Direct
0.0000 0.0000 0.0000 Cs
0.5000 0.5000 0.5000 Rb
0.0000 0.0000 0.5000 Sc
0.0000 0.5000 0.0000 Ni
0.5000 0.0000 0.0000 Ni

---

No. 5
CsReNi3 | Alexandria | PBE | optimized geometry; size of the total moment = 0.00 μB per formula unit; relative energy among the computed polymorphs = 1673.5 meV/atom; density of states at the Fermi level = 1.034 states/eV/atom; E = -16.2 eV/f.u.
1.0
4.5995 0.0000 0.0000
0.0000 4.5995 0.0000
0.0000 0.0000 4.5995
Cs Re Ni
1 1 3
Direct
0.0000 0.0000 0.0000 Cs
0.5000 0.5000 0.5000 Re
0.0000 0.0000 0.5000 Ni
0.0000 0.5000 0.0000 Ni
0.5000 0.0000 0.0000 Ni

---

No. 6
Cs3ReNi | Alexandria | PBE | optimized geometry; size of the total moment = 3.83 μB per formula unit; density of states at the Fermi level = 1.561 states/eV/atom; E = -12.4 eV/f.u.
1.0
6.1593 0.0000 0.0000
0.0000 6.1593 0.0000
0.0000 0.0000 6.1593
Cs Re Ni
3 1 1
Direct
0.0000 0.0000 0.5000 Cs
0.0000 0.5000 0.0000 Cs
0.5000 0.0000 0.0000 Cs
0.5000 0.5000 0.5000 Re
0.0000 0.0000 0.0000 Ni

---

No. 7
CsReNi3 | Alexandria | PBE | optimized geometry; size of the total moment = 0.00 μB per formula unit; relative energy among the computed polymorphs = 0.0 meV/atom; density of states at the Fermi level = 1.441 states/eV/atom; E = -24.6 eV/f.u.
1.0
4.7452 0.0000 0.0000
0.0000 4.7452 0.0000
0.0000 0.0000 4.7452
Cs Re Ni
1 1 3
Direct
0.0000 0.0000 0.0000 Cs
0.5000 0.5000 0.5000 Re
0.0000 0.5000 0.5000 Ni
0.5000 0.0000 0.5000 Ni
0.5000 0.5000 0.0000 Ni

---

No. 8
CsRe2Ni | Alexandria | PBE | optimized geometry; size of the total moment = 0.00 μB per formula unit; relative energy among the computed polymorphs = 0.0 meV/atom; density of states at the Fermi level = 1.234 states/eV/atom; E = -24.3 eV/f.u.
1.0
-2.3452 2.3452 8.9440
2.3452 -2.3452 8.9440
2.3452 2.3452 -8.9440
Cs Re Ni
2 4 2
Direct
0.0000 0.0000 0.0000 Cs
0.7500 0.2500 0.5000 Cs
0.3036 0.6250 0.1786 Re
0.3750 0.5536 0.6786 Re
0.4464 0.1250 0.8214 Re
0.8750 0.6964 0.3214 Re
0.2500 0.7500 0.5000 Ni
0.5000 0.5000 0.0000 Ni